1.
PBE CePmPu2Bi4, relaxed; DOS(E_F) = 23.87 states/eV/f.u.; DFT total energy = -59.1 eV/cell; symmetry = P2/m; energy of formation from the pure elements = -51.6 kJ/mol of atoms
1.0
5.909 0.000 0.000
0.000 5.908 0.000
-0.036 0.000 6.864
Ce Pm Pu Bi
1 1 2 4
Cartesian
0.000 0.000 0.000
2.936 2.954 3.432
-0.018 0.000 3.432
2.954 2.954 0.000
5.898 2.954 1.716
-0.026 2.954 5.148
2.945 0.000 1.716
2.927 0.000 5.148


2.
PBE CsScBeS3, relaxed; DOS(E_F) = 0.00 states/eV/f.u.; DFT total energy = -64.6 eV/cell; symmetry = P2_1/m; formation energy (no corrections) = -1.505 eV/atom
1.0
9.333 0.000 0.000
0.000 3.742 0.000
-4.005 0.000 8.559
Cs Sc Be S
2 2 2 6
Cartesian
1.063 0.935 2.106
4.264 2.806 6.453
-0.332 2.806 7.366
5.659 0.935 1.193
-1.684 0.935 5.190
7.012 2.806 3.370
-2.130 0.935 7.212
-0.612 2.806 4.655
3.887 2.806 1.335
1.440 0.935 7.224
5.939 0.935 3.904
7.457 2.806 1.347


3.
PBE ZrGa2RuW, relaxed; DOS(E_F) = 3.48 states/eV/f.u.; DFT total energy = -32.5 eV/cell; symmetry = P4/mmm; energy of formation from the pure elements = 84.2 kJ/mol of atoms
1.0
4.695 0.000 0.000
0.000 4.695 0.000
0.000 0.000 4.840
Zr Ga Ru W
1 2 1 1
Cartesian
0.000 0.000 0.000
0.000 2.347 2.420
2.347 0.000 2.420
0.000 0.000 2.420
2.347 2.347 0.000


4.
PBE SrAg3Hg, relaxed; DOS(E_F) = 1.97 states/eV/f.u.; DFT total energy = -10.0 eV/cell; E above lowest polymorph = 292 meV/atom; symmetry = Pm-3m; energy of formation from the pure elements = 10.3 kJ/mol of atoms
1.0
5.286 0.000 0.000
0.000 5.286 0.000
0.000 0.000 5.286
Sr Ag Hg
1 3 1
Cartesian
0.000 0.000 0.000
0.000 2.643 2.643
2.643 0.000 2.643
2.643 2.643 0.000
2.643 2.643 2.643


5.
PBE ZrTcI, relaxed; DOS(E_F) = 1.76 states/eV/f.u.; DFT total energy = -19.9 eV/cell; E above lowest polymorph = 607 meV/atom; symmetry = Pmm2; formation energy (no corrections) = 0.189 eV/atom
1.0
3.346 0.000 0.000
0.000 3.579 0.000
0.000 0.000 5.915
Zr Tc I
1 1 1
Cartesian
0.000 0.000 0.000
1.673 1.789 4.601
0.000 1.789 2.443


6.
PBE AlBH3, relaxed; DOS(E_F) = 1.28 states/eV/f.u.; DFT total energy = -15.4 eV/cell; E above lowest polymorph = 228 meV/atom; symmetry = Pm-3m
1.0
3.464 0.000 0.000
0.000 3.464 0.000
0.000 0.000 3.464
Al B H
1 1 3
Cartesian
0.000 0.000 0.000
1.732 1.732 1.732
0.000 0.000 1.732
0.000 1.732 0.000
1.732 0.000 0.000